(1)
Tm2Ga3Cu4Ag: optimized geometry, PBE-GGA.

```
10
Lattice="3.987 0.000 0.000 0.000 3.987 0.000 0.000 0.000 10.874" Properties=species:S:1:pos:R:3 pbc="T T T"
Tm 0.000 1.994 2.659
Tm 1.994 0.000 8.215
Ga 0.000 1.994 9.447
Ga 1.994 0.000 1.427
Ga 1.994 1.994 5.437
Cu 0.000 0.000 0.000
Cu 0.000 1.994 7.084
Cu 1.994 0.000 3.791
Cu 1.994 1.994 0.000
Ag 0.000 0.000 5.437
```

Values from the calculation:
**Formation energy**: -7.55 kcal/mol of atoms

***

(2)
BaAl2Br: optimized geometry, PBE-GGA.

```
4
Lattice="4.158 0.000 0.000 0.000 4.158 0.000 0.000 0.000 7.176" Properties=species:S:1:pos:R:3 pbc="T T T"
Ba 0.000 0.000 0.000
Al 2.079 2.079 2.305
Al 2.079 2.079 4.871
Br 0.000 0.000 3.588
```

Values from the calculation:
**Raw formation energy**: -0.062 eV/atom

***

(3)
CaFeTc2: optimized geometry, PBE-GGA.

```
4
Lattice="3.148 0.000 0.000 0.000 3.148 0.000 0.000 0.000 7.032" Properties=species:S:1:pos:R:3 pbc="T T T"
Ca 0.000 0.000 0.000
Fe 0.000 0.000 3.516
Tc 1.574 1.574 2.284
Tc 1.574 1.574 4.748
```

Values from the calculation:
**Formation energy**: 9.99 kcal/mol of atoms

***

(4)
CoTeP2: optimized geometry, PBE-GGA.

```
4
Lattice="0.000 3.174 3.174 3.174 0.000 3.174 3.174 3.174 0.000" Properties=species:S:1:pos:R:3 pbc="T T T"
Co 0.000 0.000 0.000
Te 1.587 1.587 1.587
P 3.174 3.174 3.174
P 4.760 4.760 4.760
```

Values from the calculation:
**Raw formation energy**: 0.691 eV/atom

***

| no. | volume (A^3/atom) | magnetization (μB per formula unit) |
| --- | --- | --- |
| 1 | 17.29 | 0.000 |
| 2 | 31.02 | 0.000 |
| 3 | 17.42 | 1.967 |
| 4 | 15.98 | 0.001 |